Entry 1:
Computed, not measured: crystalline Pm2Pr4HoTh at its relaxed geometry at the PBE level of DFT.

Cell lengths 6.133, 6.120, 9.551 Å; angles 50.30, 90.00, 90.00 degrees
Element x y z (fractional)
Pr (0.000, 0.255, 0.244)
Pr (0.500, 0.755, 0.245)
Pr (0.500, 0.245, 0.755)
Pr (0.000, 0.745, 0.756)
Th (0.500, 0.500, 0.000)
Pm (0.000, 0.000, 0.000)
Pm (0.500, 0.000, 0.500)
Ho (0.000, 0.500, 0.500)

DFT total energy in eV per atom: -4.9437

Entry 2:
Computed, not measured: crystalline BeZnFe2 at its relaxed geometry at the PBE level of DFT.

Cell lengths 8.249, 8.249, 8.249 Å; angles 17.57, 17.57, 17.57 degrees
Each line ends with the local moment (μB).
Element x y z (fractional)
Fe (0.007, 0.007, 0.007)  1.97
Fe (0.493, 0.493, 0.493)  1.97
Be (0.750, 0.750, 0.750)  -0.06
Zn (0.250, 0.250, 0.250)  -0.02

DFT total energy in eV per atom: -5.4217
ΔE to the lowest computed polymorph in meV per atom: 137.4